# 1
DFT (GGA-PBE) results for Ce2Tl2Cd15 after structural relaxation.

a = 7.737 Å, b = 7.737 Å, c = 7.737 Å
α = 83.93°, β = 83.93°, γ = 83.93°
Positions (direct):
1 Ce 0.168 0.168 0.168
2 Ce 0.832 0.832 0.832
3 Tl 0.397 0.397 0.397
4 Tl 0.603 0.603 0.603
5 Cd 0.000 0.500 0.500
6 Cd 0.144 0.144 0.672
7 Cd 0.144 0.672 0.144
8 Cd 0.188 0.500 0.812
9 Cd 0.188 0.812 0.500
10 Cd 0.328 0.856 0.856
11 Cd 0.500 0.000 0.500
12 Cd 0.500 0.188 0.812
13 Cd 0.500 0.500 0.000
14 Cd 0.500 0.812 0.188
15 Cd 0.672 0.144 0.144
16 Cd 0.812 0.188 0.500
17 Cd 0.812 0.500 0.188
18 Cd 0.856 0.328 0.856
19 Cd 0.856 0.856 0.328

Properties
Formation energy in eV/atom: -0.09
D(E_F) in states/eV/f.u.: 21.744
SG: R-3m


# 2
DFT (GGA-PBE) results for Nd3Sm5Er4 after structural relaxation.

a = 6.238 Å, b = 7.195 Å, c = 8.813 Å
α = 90.09°, β = 90.02°, γ = 90.07°
Positions (direct):
1 Nd 0.000 0.000 0.000
2 Nd 0.166 0.748 0.665
3 Nd 0.834 0.252 0.335
4 Sm 0.000 0.500 0.000
5 Sm 0.334 0.000 0.335
6 Sm 0.498 0.252 0.000
7 Sm 0.502 0.748 0.000
8 Sm 0.666 0.000 0.665
9 Er 0.168 0.252 0.665
10 Er 0.334 0.500 0.335
11 Er 0.666 0.500 0.665
12 Er 0.832 0.748 0.335

Properties
Formation energy in eV/atom: 0.02
Distance to the lowest polymorph of the same formula in eV per formula unit: 0.00
D(E_F) in states/eV/f.u.: 15.438
SG: P-1


# 3
DFT (GGA-PBE) results for TeCSeBr2 after structural relaxation.

a = 4.712 Å, b = 4.712 Å, c = 4.687 Å
α = 90.00°, β = 90.00°, γ = 90.00°
Positions (direct):
1 Te 0.000 0.000 0.000
2 C 0.500 0.500 0.500
3 Se 0.500 0.500 0.000
4 Br 0.000 0.500 0.500
5 Br 0.500 0.000 0.500

Properties
Distance to the lowest polymorph of the same formula in eV per formula unit: 0.00
Formation energy without anion corrections in eV per atom: 1.1202
D(E_F) in states/eV/f.u.: 2.754
SG: P4/mmm


# 4
DFT (GGA-PBE) results for Sr2Tl2Pd after structural relaxation.

a = 7.713 Å, b = 7.713 Å, c = 5.153 Å
α = 90.00°, β = 90.00°, γ = 90.00°
Positions (direct):
1 Sr 0.172 0.328 0.000
2 Sr 0.328 0.828 0.000
3 Sr 0.672 0.172 0.000
4 Sr 0.828 0.672 0.000
5 Tl 0.141 0.641 0.500
6 Tl 0.359 0.141 0.500
7 Tl 0.641 0.859 0.500
8 Tl 0.859 0.359 0.500
9 Pd 0.000 0.000 0.500
10 Pd 0.500 0.500 0.500

Properties
Formation energy in eV/atom: -0.30
Distance to the lowest polymorph of the same formula in eV per formula unit: 0.83
D(E_F) in states/eV/f.u.: 3.841
SG: P4/mbm


# 5
DFT (GGA-PBE) results for Cr8Re7 after structural relaxation.

a = 9.269 Å, b = 9.269 Å, c = 4.691 Å
α = 90.00°, β = 90.00°, γ = 90.00°
Positions (direct):
1 Cr 0.066 0.258 0.000
2 Cr 0.187 0.813 0.252
3 Cr 0.187 0.813 0.748
4 Cr 0.242 0.566 0.500
5 Cr 0.258 0.066 0.000
6 Cr 0.313 0.313 0.248
7 Cr 0.313 0.313 0.752
8 Cr 0.434 0.758 0.500
9 Cr 0.566 0.242 0.500
10 Cr 0.687 0.687 0.248
11 Cr 0.687 0.687 0.752
12 Cr 0.742 0.934 0.000
13 Cr 0.758 0.434 0.500
14 Cr 0.813 0.187 0.252
15 Cr 0.813 0.187 0.748
16 Cr 0.934 0.742 0.000
17 Re 0.000 0.000 0.000
18 Re 0.035 0.366 0.500
19 Re 0.102 0.102 0.500
20 Re 0.134 0.535 0.000
21 Re 0.366 0.035 0.500
22 Re 0.398 0.602 0.000
23 Re 0.465 0.866 0.000
24 Re 0.500 0.500 0.500
25 Re 0.535 0.134 0.000
26 Re 0.602 0.398 0.000
27 Re 0.634 0.965 0.500
28 Re 0.866 0.465 0.000
29 Re 0.898 0.898 0.500
30 Re 0.965 0.634 0.500

Properties
Formation energy in eV/atom: 0.02
Distance to the lowest polymorph of the same formula in eV per formula unit: 0.00
D(E_F) in states/eV/f.u.: 18.192
SG: P4_2/mnm


# 6
DFT (GGA-PBE) results for MgZrAg2 after structural relaxation.

a = 5.007 Å, b = 5.007 Å, c = 3.145 Å
α = 90.00°, β = 90.00°, γ = 90.00°
Positions (direct):
1 Mg 0.000 0.000 0.000
2 Zr 0.500 0.500 0.000
3 Ag 0.000 0.500 0.500
4 Ag 0.500 0.000 0.500

Properties
Formation energy in eV/atom: -0.06
D(E_F) in states/eV/f.u.: 2.227
SG: P4/mmm


# 7
DFT (GGA-PBE) results for V2CrSe2S4 after structural relaxation.

a = 3.188 Å, b = 3.188 Å, c = 20.351 Å
α = 90.00°, β = 90.00°, γ = 120.00°
Positions (direct):
1 V 0.000 0.000 0.000
2 V 0.333 0.667 0.320
3 Cr 0.333 0.667 0.673
4 Se 0.000 0.000 0.595
5 Se 0.000 0.000 0.750
6 S 0.000 0.000 0.247
7 S 0.000 0.000 0.393
8 S 0.333 0.667 0.073
9 S 0.333 0.667 0.927

Properties
Formation energy without anion corrections in eV per atom: -0.7445
D(E_F) in states/eV/f.u.: 3.086
SG: P3m1


# 8
DFT (GGA-PBE) results for CoReSe2N after structural relaxation.

a = 5.040 Å, b = 5.040 Å, c = 3.710 Å
α = 90.00°, β = 90.00°, γ = 90.00°
Positions (direct):
1 Co 0.000 0.000 0.000
2 Re 0.500 0.500 0.500
3 Se 0.000 0.500 0.500
4 Se 0.500 0.000 0.500
5 N 0.500 0.500 0.000

Properties
Distance to the lowest polymorph of the same formula in eV per formula unit: 0.00
Formation energy without anion corrections in eV per atom: 0.7078
D(E_F) in states/eV/f.u.: 5.133
SG: P4/mmm


Values of magnetic moment, in order: 0.13, 0.00, 0.00, 0.00, 0.00, 0.00, 0.19, 0.41, all in μB/atom.
Values of calculated volume, in order: 455.92, 395.61, 104.07, 153.27, 201.52, 78.85, 179.15, 94.22, all in Å³/f.u..
Values of total energy, in order: -1.688, -4.663, -2.719, -2.959, -10.921, -4.025, -6.449, -6.262, all in eV/atom.